1.
Material: CuNi2SbH
Method: DFT, PBE-GGA
State: optimized geometry

CIF file:
```
data_CuNi2SbH
_chemical_formula_sum 'Cu1 Ni2 Sb1 H1'
_cell_length_a 3.862
_cell_length_b 3.862
_cell_length_c 3.789
_cell_angle_alpha 90.00
_cell_angle_beta 90.00
_cell_angle_gamma 90.00
_symmetry_space_group_name_H-M 'P 4/m m m'
_symmetry_Int_Tables_number 123
_symmetry_space_group_name_Hall '-P 4 2'
loop_
_atom_site_label
_atom_site_fract_x
_atom_site_fract_y
_atom_site_fract_z
_atom_site_occupancy
Cu1 0.000 0.000 0.000 1
Ni1 0.000 0.500 0.500 1
Sb1 0.500 0.500 0.000 1
H1 0.000 0.000 0.500 1
```

Results
Total DFT energy (no corrections) (eV/cell): -23.2
Volume (A^3/atom): 11.30

2.
Material: Li2CaPdO4
Method: DFT, PBE-GGA
State: optimized geometry

CIF file:
```
data_Li2CaPdO4
_chemical_formula_sum 'Li4 Ca2 Pd2 O8'
_cell_length_a 5.146
_cell_length_b 5.639
_cell_length_c 6.555
_cell_angle_alpha 90.00
_cell_angle_beta 90.00
_cell_angle_gamma 90.00
_symmetry_space_group_name_H-M 'I 2 2 2'
_symmetry_Int_Tables_number 23
_symmetry_space_group_name_Hall 'I 2 2'
loop_
_atom_site_label
_atom_site_fract_x
_atom_site_fract_y
_atom_site_fract_z
_atom_site_occupancy
Li1 0.000 0.000 0.245 1
Ca1 0.000 0.500 0.000 1
Pd1 0.000 0.500 0.500 1
O1 0.207 0.262 0.648 1
```

Results
Energy relative to the elements, uncorrected (eV per atom): -1.38
Volume (A^3/atom): 11.89

3.
Material: BaAgCl
Method: DFT, PBE-GGA
State: optimized geometry

CIF file:
```
data_BaAgCl
_chemical_formula_sum 'Ba2 Ag2 Cl2'
_cell_length_a 4.043
_cell_length_b 4.043
_cell_length_c 12.530
_cell_angle_alpha 90.00
_cell_angle_beta 90.00
_cell_angle_gamma 90.00
_symmetry_space_group_name_H-M 'I 4 m m'
_symmetry_Int_Tables_number 107
_symmetry_space_group_name_Hall 'I 4 -2'
loop_
_atom_site_label
_atom_site_fract_x
_atom_site_fract_y
_atom_site_fract_z
_atom_site_occupancy
Ba1 0.000 0.000 0.000 1
Ag1 0.000 0.000 0.667 1
Cl1 0.000 0.000 0.384 1
```

Results
E above lowest polymorph (meV/atom): 47
Energy relative to the elements, uncorrected (eV per atom): -1.02
Volume (A^3/atom): 34.13

For reference, spin magnetization by record: 0.00 0.00 0.00 μB per cell.